18
Lattice="9.107 0.000 0.000 -4.554 7.887 0.000 0.000 0.000 6.542" Properties=species:S:1:pos:R:3 comment="Sm5MgGa3 PBE relaxed" magnetic_moment_mub_per_fu=0.00 volume_a3_per_cell=470.0 formation_energy_mev_per_atom=-405 pbc="T T T"
Sm -1.418 2.455 1.636
Sm -3.136 5.432 4.907
Sm 2.835 0.000 1.636
Sm 1.418 2.455 4.907
Sm 0.000 5.258 0.000
Sm 0.000 5.258 3.271
Sm 4.554 2.629 0.000
Sm 4.554 2.629 3.271
Sm 6.272 0.000 4.907
Sm 3.136 5.432 1.636
Mg 0.000 0.000 0.000
Mg 0.000 0.000 3.271
Ga -1.601 2.773 4.907
Ga -2.952 5.114 1.636
Ga 3.202 0.000 4.907
Ga 1.601 2.773 1.636
Ga 5.905 0.000 1.636
Ga 2.952 5.114 4.907

***

8
Lattice="5.208 0.000 0.000 0.000 5.208 0.000 0.000 0.000 7.415" Properties=species:S:1:pos:R:3 comment="Sm4MgGa3 PBE relaxed" magnetic_moment_mub_per_fu=0.00 volume_a3_per_cell=201.1 formation_energy_mev_per_atom=-450 pbc="T T T"
Sm 0.000 2.604 1.800
Sm 0.000 2.604 5.615
Sm 2.604 0.000 1.800
Sm 2.604 0.000 5.615
Mg 0.000 0.000 3.707
Ga 0.000 0.000 0.000
Ga 2.604 2.604 0.000
Ga 2.604 2.604 3.707

***

6
Lattice="-2.176 3.398 4.070 2.176 -3.398 4.070 2.176 3.398 -4.070" Properties=species:S:1:pos:R:3 comment="SmMgGa4 PBE relaxed" magnetic_moment_mub_per_fu=0.00 volume_a3_per_cell=120.4 polymorph_energy_mev_per_atom=0 formation_energy_mev_per_atom=-404 pbc="T T T"
Sm 0.000 0.000 0.000
Mg 0.000 3.398 0.000
Ga 2.176 1.977 -1.331
Ga 2.176 1.977 1.331
Ga 0.000 1.421 2.738
Ga 0.000 1.421 5.401

***

3
Lattice="-1.708 1.708 6.122 1.708 -1.708 6.122 1.708 1.708 -6.122" Properties=species:S:1:pos:R:3 comment="SmMgGa PBE relaxed" magnetic_moment_mub_per_fu=0.00 volume_a3_per_cell=71.5 polymorph_energy_mev_per_atom=210 formation_energy_mev_per_atom=-288 pbc="T T T"
Sm 0.000 0.000 0.000
Mg 0.000 0.000 8.640
Ga 0.000 0.000 4.163

***

8
Lattice="2.282 -5.435 0.000 2.282 5.435 0.000 0.000 0.000 7.563" Properties=species:S:1:pos:R:3 comment="SmMg2Ga PBE relaxed" magnetic_moment_mub_per_fu=0.00 volume_a3_per_cell=187.6 polymorph_energy_mev_per_atom=0 formation_energy_mev_per_atom=-308 pbc="T T T"
Sm 2.282 4.631 5.672
Sm 2.282 -4.631 1.891
Mg 2.282 1.492 4.199
Mg 2.282 1.492 7.145
Mg 2.282 -1.492 0.418
Mg 2.282 -1.492 3.363
Ga 2.282 3.121 1.891
Ga 2.282 -3.121 5.672

***

12
Lattice="2.439 -12.475 0.000 2.439 12.475 0.000 0.000 0.000 6.389" Properties=species:S:1:pos:R:3 comment="Sm4MgGa PBE relaxed" magnetic_moment_mub_per_fu=0.00 volume_a3_per_cell=388.8 formation_energy_mev_per_atom=44 pbc="T T T"
Sm 2.439 10.307 3.194
Sm 2.439 7.888 5.418
Sm 2.439 6.926 2.235
Sm 2.439 3.134 3.845
Sm 2.439 -3.134 0.650
Sm 2.439 -6.926 5.430
Sm 2.439 -7.888 2.223
Sm 2.439 -10.307 0.000
Mg 2.439 11.440 6.297
Mg 2.439 -11.440 3.102
Ga 2.439 4.111 0.505
Ga 2.439 -4.111 3.699

***

4
Lattice="1.609 0.929 11.050 -1.609 0.929 11.050 0.000 -1.858 11.050" Properties=species:S:1:pos:R:3 comment="SmMg2Ga PBE relaxed" magnetic_moment_mub_per_fu=0.00 volume_a3_per_cell=99.1 polymorph_energy_mev_per_atom=421 formation_energy_mev_per_atom=114 pbc="T T T"
Sm 0.000 0.000 0.000
Mg 0.000 0.000 3.256
Mg 0.000 0.000 29.893
Ga 0.000 0.000 16.575

***

17
Lattice="-4.425 4.425 4.425 4.425 -4.425 4.425 4.425 4.425 -4.425" Properties=species:S:1:pos:R:3 comment="Sm4MgGa12 PBE relaxed" magnetic_moment_mub_per_fu=0.00 volume_a3_per_cell=346.5 formation_energy_mev_per_atom=-527 pbc="T T T"
Sm 2.212 2.212 -2.212
Sm 2.212 -2.212 2.212
Sm -2.212 2.212 2.212
Sm 2.212 2.212 2.212
Mg 0.000 0.000 0.000
Ga 2.763 0.000 0.000
Ga 6.086 0.000 0.000
Ga 4.425 2.212 0.000
Ga 4.425 0.000 2.212
Ga 0.000 2.763 0.000
Ga 0.000 0.000 2.763
Ga 2.212 4.425 0.000
Ga 2.212 0.000 4.425
Ga 0.000 6.086 0.000
Ga 0.000 0.000 6.086
Ga 0.000 4.425 2.212
Ga 0.000 2.212 4.425

***

5
Lattice="4.712 0.000 0.000 0.000 2.387 5.595 0.000 -2.387 5.595" Properties=species:S:1:pos:R:3 comment="SmMg3Ga PBE relaxed" magnetic_moment_mub_per_fu=0.00 volume_a3_per_cell=125.9 formation_energy_mev_per_atom=-141 pbc="T T T"
Sm 0.000 0.000 0.000
Mg 0.000 0.000 7.895
Mg 2.356 0.000 2.355
Mg 2.356 0.000 5.615
Ga 0.000 0.000 3.794

***

8
Lattice="4.403 0.000 0.000 0.000 6.449 0.000 0.000 0.000 5.600" Properties=species:S:1:pos:R:3 comment="SmMgGa6 PBE relaxed" magnetic_moment_mub_per_fu=0.00 volume_a3_per_cell=159.0 formation_energy_mev_per_atom=-251 pbc="T T T"
Sm 0.000 0.000 0.000
Mg 2.202 3.225 1.585
Ga 0.000 1.698 2.718
Ga 0.000 3.225 5.347
Ga 0.000 4.751 2.718
Ga 2.202 0.000 2.299
Ga 2.202 1.819 4.450
Ga 2.202 4.630 4.450

***

14
Lattice="9.071 0.000 0.000 -4.536 7.856 0.000 0.000 0.000 5.222" Properties=species:S:1:pos:R:3 comment="Sm3MgGa3 PBE relaxed" magnetic_moment_mub_per_fu=0.00 volume_a3_per_cell=372.1 formation_energy_mev_per_atom=-223 pbc="T T T"
Sm -3.289 5.899 1.305
Sm 1.072 2.058 1.305
Sm 2.318 0.101 3.916
Sm 2.218 7.755 1.305
Sm 3.464 5.798 3.916
Sm 7.825 1.957 3.916
Mg 0.000 5.237 3.916
Mg 4.536 2.619 1.305
Ga -1.767 3.292 1.305
Ga -0.801 7.740 1.305
Ga 1.968 3.176 3.916
Ga 2.568 4.680 1.305
Ga 5.337 0.116 3.916
Ga 6.302 4.564 3.916

***

4
Lattice="4.500 0.000 0.000 0.000 4.500 0.000 0.000 0.000 4.247" Properties=species:S:1:pos:R:3 comment="SmMgGa2 PBE relaxed" magnetic_moment_mub_per_fu=0.00 volume_a3_per_cell=86.0 formation_energy_mev_per_atom=-456 pbc="T T T"
Sm 0.000 0.000 0.000
Mg 2.250 2.250 0.000
Ga 0.000 2.250 2.123
Ga 2.250 0.000 2.123